#1
Ta3InBr | GGA-PBE | optimized geometry

Cell and atoms, written as extended XYZ:
```
5
Lattice="5.1037 0.0000 0.0000 0.0000 5.1037 0.0000 0.0000 0.0000 5.1037" Properties=species:S:1:pos:R:3 pbc="T T T"
Ta 0.0000 2.5519 0.0000
Ta 0.0000 0.0000 2.5519
Ta 2.5519 0.0000 0.0000
Br 2.5519 2.5519 2.5519
In 0.0000 0.0000 0.0000
```

Computed properties:
* size of the total moment: 0.0 Bohr magnetons per cell
* symmetry: No. 221



#2
Ta3InBr | GGA-PBE | optimized geometry

Cell and atoms, written as extended XYZ:
```
5
Lattice="4.7466 0.0000 0.0000 0.0000 4.7466 0.0000 0.0000 0.0000 4.7466" Properties=species:S:1:pos:R:3 pbc="T T T"
Br 0.0000 0.0000 0.0000
Ta 0.0000 2.3733 0.0000
Ta 2.3733 0.0000 0.0000
Ta 0.0000 0.0000 2.3733
In 2.3733 2.3733 2.3733
```

Computed properties:
* size of the total moment: 0.0 Bohr magnetons per cell
* symmetry: No. 221



#2 is the most stable structure; the next one sits 1.023 eV/atom above it.



#1
TaIn3Br | GGA-PBE | optimized geometry

Cell and atoms, written as extended XYZ:
```
5
Lattice="-1.1817 5.2216 -1.5554 -5.3829 -0.8731 1.1585 0.8415 1.7474 5.2268" Properties=species:S:1:pos:R:3 pbc="T T T"
In -0.5908 2.6108 -0.7777
In 0.4207 0.8737 2.6134
In -2.6915 -0.4366 0.5793
Br -2.8616 3.0479 2.4150
Ta 0.0000 0.0000 0.0000
```

Computed properties:
* size of the total moment: 3.4 Bohr magnetons per cell
* symmetry: No. 221



#2
TaIn3Br | GGA-PBE | optimized geometry

Cell and atoms, written as extended XYZ:
```
5
Lattice="5.5644 0.0000 0.0000 0.0000 5.5644 0.0000 0.0000 0.0000 5.5644" Properties=species:S:1:pos:R:3 pbc="T T T"
Br 0.0000 0.0000 0.0000
In 0.0000 2.7822 0.0000
In 0.0000 0.0000 2.7822
In 2.7822 0.0000 0.0000
Ta 2.7822 2.7822 2.7822
```

Computed properties:
* size of the total moment: 2.8 Bohr magnetons per cell
* symmetry: No. 221



#1 is the most stable structure; the next one sits 0.733 eV/atom above it.



#1
TaInBr4 | GGA-PBE | optimized geometry

Cell and atoms, written as extended XYZ:
```
12
Lattice="-1.1253 -5.8413 6.4921 5.0115 -1.8848 -4.7817 3.2316 7.3613 3.1895" Properties=species:S:1:pos:R:3 pbc="T T T"
Br 6.0518 3.6077 -0.4523
Br 4.3238 0.7701 4.2128
Br 2.7939 -1.1350 0.6871
Br 1.8175 1.7112 6.6016
Br 3.5436 4.5494 1.9382
Br 5.3003 -2.0760 -1.7017
Br 3.5741 -4.9143 2.9617
Br 1.0660 -3.9726 5.3522
In 6.4219 3.0232 2.8449
In 0.6958 -3.3881 2.0550
Ta 3.7592 -1.4132 -3.5858
Ta 3.3586 1.0484 8.4857
```

Computed properties:
* size of the total moment: 2.0 Bohr magnetons per cell
* symmetry: No. 15



#2
TaInBr4 | GGA-PBE | optimized geometry

Cell and atoms, written as extended XYZ:
```
6
Lattice="-1.8317 -4.9389 -3.3867 -4.8936 -3.4341 1.8648 -5.3793 0.2183 -3.1990" Properties=species:S:1:pos:R:3 pbc="T T T"
Ta 0.0000 0.0000 0.0000
Br -7.2375 -2.9405 -3.3773
Br -5.4506 -5.5381 -3.4718
Br -4.5280 -3.0505 -1.7660
Br -6.9929 -4.7802 -0.8267
In -9.0784 -6.1160 -3.5407
```

Computed properties:
* size of the total moment: 3.4 Bohr magnetons per cell
* symmetry: No. 216



#1 is the most stable structure; the next one sits 1.562 eV/atom above it.



#1
In2TcBr | GGA-PBE | optimized geometry

Cell and atoms, written as extended XYZ:
```
4
Lattice="-5.7040 3.8642 -2.1611 -6.7733 1.0087 -2.2897 -2.6629 0.8328 3.6511" Properties=species:S:1:pos:R:3 pbc="T T T"
Br -3.7851 1.4264 -0.1999
Tc -11.3552 4.2793 -0.5998
In -3.3155 1.1013 3.1144
In -6.9176 2.5843 0.1368
```

Computed properties:
* size of the total moment: 1.0 Bohr magnetons per cell
* symmetry: No. 12



#2
In2TcBr | GGA-PBE | optimized geometry

Cell and atoms, written as extended XYZ:
```
4
Lattice="3.3055 0.0000 0.0000 0.0000 3.3589 -0.0469 0.0000 0.1084 8.1392" Properties=species:S:1:pos:R:3 pbc="T T T"
Tc 1.6527 0.8668 2.0231
In 0.0000 2.5241 0.4215
In 0.0000 2.5683 3.5777
Br 1.6527 2.6004 6.0692
```

Computed properties:
* size of the total moment: 0.0 Bohr magnetons per cell
* symmetry: No. 47



#3
In2TcBr | GGA-PBE | optimized geometry

Cell and atoms, written as extended XYZ:
```
4
Lattice="3.7679 0.0000 0.0000 0.0000 3.7754 0.0000 0.0000 0.0000 8.1175" Properties=species:S:1:pos:R:3 pbc="T T T"
In 0.0000 0.0000 0.0111
In 1.8840 1.8877 2.9327
Br 1.8840 1.8877 6.5619
Tc 0.0000 0.0000 2.6705
```

Computed properties:
* size of the total moment: 1.5 Bohr magnetons per cell
* symmetry: No. 99



#2 is the most stable structure; the next one sits 0.263 eV/atom above it.



#1
In2TcBr | GGA-PBE | optimized geometry

Cell and atoms, written as extended XYZ:
```
4
Lattice="-4.8031 -2.8868 -0.7005 0.0652 -5.1798 2.2495 1.3015 5.1679 1.8691" Properties=species:S:1:pos:R:3 pbc="T T T"
Tc -0.5011 -2.0226 2.4465
In 0.0000 0.0000 0.0000
In -2.3689 -4.0333 0.7745
Br -2.9353 -0.8761 0.9716
```

Computed properties:
* size of the total moment: 2.3 Bohr magnetons per cell
* symmetry: No. 139



#2
In2TcBr | GGA-PBE | optimized geometry

Cell and atoms, written as extended XYZ:
```
4
Lattice="-3.1675 0.5282 3.4554 -2.4798 -0.6672 -2.1712 -0.8410 -5.6500 0.0927" Properties=species:S:1:pos:R:3 pbc="T T T"
Br -3.5986 -4.4919 0.6077
Tc -2.1433 -3.0658 -1.4961
In -2.5415 -1.7386 1.1559
In -3.1861 -5.9685 -2.0083
```

Computed properties:
* size of the total moment: 1.1 Bohr magnetons per cell
* symmetry: No. 6



#3
In2TcBr | GGA-PBE | optimized geometry

Cell and atoms, written as extended XYZ:
```
4
Lattice="0.0000 3.6269 3.6269 3.6269 0.0000 3.6269 3.6269 3.6269 0.0000" Properties=species:S:1:pos:R:3 pbc="T T T"
Br 0.0000 0.0000 0.0000
In 5.4403 5.4403 5.4403
In 1.8134 1.8134 1.8134
Tc 3.6269 3.6269 3.6269
```

Computed properties:
* size of the total moment: 2.5 Bohr magnetons per cell
* symmetry: No. 225



#4
In2TcBr | GGA-PBE | optimized geometry

Cell and atoms, written as extended XYZ:
```
4
Lattice="-2.5777 1.9464 -0.8642 -1.7739 -1.2116 2.5623 2.7820 5.7460 4.6429" Properties=species:S:1:pos:R:3 pbc="T T T"
In 0.1424 0.2942 0.2377
In 1.2485 2.5788 2.0837
Tc -1.4803 1.8039 2.0098
Br -0.0893 4.6769 4.3312
```

Computed properties:
* size of the total moment: 0.2 Bohr magnetons per cell
* symmetry: No. 123



#4 is the most stable structure; the next one sits 0.146 eV/atom above it.